A plane-wave DFT calculation with GGA-PBE was carried out for crystalline ErNbFe2 at its relaxed geometry.

Formation energy = 83 meV/atom
D(E_F) = 10.39 states/eV per cell
E = -7.81 eV per atom

Unit cell a=6.3183 b=6.3183 c=6.3183 alpha=90.00 beta=90.00 gamma=90.00
Space group Fm-3m (No. 225)
Inequivalent atoms, fractional coordinates:
1 Er 0.0000 0.0000 0.0000 x4
2 Nb 0.0000 0.0000 0.5000 x4
3 Fe 0.2500 0.2500 0.2500 x8